[1]
The following is a PBE calculation of a relaxed structure of PaGeRu, from Alexandria.

a b c (Å): 4.446 4.446 3.330
angles (deg): 90.00 90.00 120.00
Sites, in units of the cell vectors:
1 Pa 0.000 0.000 0.000
2 Ge 0.667 0.333 0.500
3 Ru 0.333 0.667 0.500

- symmetry = No. 187
- DOS at the Fermi energy (states/eV/cell) = 2.48

---

[2]
The following is a PBE calculation of a relaxed structure of Pa2Ge3Ru5, from Alexandria.

a b c (Å): 12.585 12.585 6.517
angles (deg): 90.00 90.00 160.80
Sites, in units of the cell vectors:
1 Pa 0.010 0.990 0.500
2 Pa 0.326 0.674 0.500
3 Pa 0.674 0.326 0.000
4 Pa 0.990 0.010 0.000
5 Ge 0.111 0.889 0.265
6 Ge 0.272 0.728 0.014
7 Ge 0.447 0.553 0.269
8 Ge 0.553 0.447 0.769
9 Ge 0.728 0.272 0.514
10 Ge 0.889 0.111 0.765
11 Ru 0.104 0.896 0.847
12 Ru 0.204 0.796 0.727
13 Ru 0.210 0.790 0.311
14 Ru 0.371 0.629 0.011
15 Ru 0.446 0.554 0.656
16 Ru 0.554 0.446 0.156
17 Ru 0.629 0.371 0.511
18 Ru 0.790 0.210 0.811
19 Ru 0.796 0.204 0.227
20 Ru 0.896 0.104 0.347

- symmetry = No. 36
- DOS at the Fermi energy (states/eV/cell) = 11.83

---

[3]
The following is a PBE calculation of a relaxed structure of Pa2Ge3Ru5, from Alexandria.

a b c (Å): 8.357 8.357 8.357
angles (deg): 100.15 93.45 139.78
Sites, in units of the cell vectors:
1 Pa 0.241 0.129 0.370
2 Pa 0.259 0.629 0.888
3 Pa 0.741 0.371 0.112
4 Pa 0.759 0.871 0.630
5 Ge 0.116 0.867 0.984
6 Ge 0.250 0.750 0.500
7 Ge 0.384 0.367 0.751
8 Ge 0.616 0.633 0.249
9 Ge 0.750 0.250 0.500
10 Ge 0.884 0.133 0.016
11 Ru 0.171 0.381 0.552
12 Ru 0.250 0.250 0.000
13 Ru 0.250 0.523 0.273
14 Ru 0.250 0.977 0.727
15 Ru 0.329 0.881 0.210
16 Ru 0.671 0.119 0.790
17 Ru 0.750 0.023 0.273
18 Ru 0.750 0.477 0.727
19 Ru 0.750 0.750 0.000
20 Ru 0.829 0.619 0.448

- symmetry = No. 72
- DOS at the Fermi energy (states/eV/cell) = 16.53

---

[4]
The following is a PBE calculation of a relaxed structure of Pa3Ge2Ru2, from Alexandria.

a b c (Å): 5.546 7.862 13.012
angles (deg): 90.00 90.00 90.00
Sites, in units of the cell vectors:
1 Pa 0.124 0.231 0.250
2 Pa 0.124 0.269 0.750
3 Pa 0.334 0.600 0.099
4 Pa 0.334 0.600 0.401
5 Pa 0.334 0.900 0.599
6 Pa 0.334 0.900 0.901
7 Pa 0.666 0.100 0.099
8 Pa 0.666 0.100 0.401
9 Pa 0.666 0.400 0.599
10 Pa 0.666 0.400 0.901
11 Pa 0.876 0.731 0.250
12 Pa 0.876 0.769 0.750
13 Ge 0.197 0.250 0.000
14 Ge 0.197 0.250 0.500
15 Ge 0.390 0.613 0.750
16 Ge 0.390 0.887 0.250
17 Ge 0.610 0.113 0.750
18 Ge 0.610 0.387 0.250
19 Ge 0.803 0.750 0.000
20 Ge 0.803 0.750 0.500
21 Ru 0.125 0.546 0.593
22 Ru 0.125 0.546 0.907
23 Ru 0.125 0.954 0.093
24 Ru 0.125 0.954 0.407
25 Ru 0.875 0.046 0.593
26 Ru 0.875 0.046 0.907
27 Ru 0.875 0.454 0.093
28 Ru 0.875 0.454 0.407

- symmetry = No. 57
- DOS at the Fermi energy (states/eV/cell) = 39.53

---

[5]
The following is a PBE calculation of a relaxed structure of Pa4GeRu, from Alexandria.

a b c (Å): 6.849 6.849 5.787
angles (deg): 90.00 90.00 90.00
Sites, in units of the cell vectors:
1 Pa 0.138 0.346 0.000
2 Pa 0.138 0.654 0.500
3 Pa 0.346 0.138 0.500
4 Pa 0.346 0.862 0.000
5 Pa 0.654 0.138 0.000
6 Pa 0.654 0.862 0.500
7 Pa 0.862 0.346 0.500
8 Pa 0.862 0.654 0.000
9 Ge 0.500 0.500 0.250
10 Ge 0.500 0.500 0.750
11 Ru 0.000 0.000 0.250
12 Ru 0.000 0.000 0.750

- symmetry = No. 124
- DOS at the Fermi energy (states/eV/cell) = 23.93

---

[6]
The following is a PBE calculation of a relaxed structure of Pa2GeRu, from Alexandria.

a b c (Å): 3.130 3.130 30.229
angles (deg): 90.00 90.00 120.00
Sites, in units of the cell vectors:
1 Pa 0.000 0.000 0.083
2 Pa 0.000 0.000 0.917
3 Pa 0.333 0.667 0.584
4 Pa 0.333 0.667 0.750
5 Pa 0.667 0.333 0.250
6 Pa 0.667 0.333 0.416
7 Ge 0.000 0.000 0.500
8 Ge 0.333 0.667 0.167
9 Ge 0.667 0.333 0.833
10 Ru 0.000 0.000 0.000
11 Ru 0.333 0.667 0.667
12 Ru 0.667 0.333 0.333

- symmetry = No. 166
- DOS at the Fermi energy (states/eV/cell) = 13.99

---

[7]
The following is a PBE calculation of a relaxed structure of Pa2GeRu, from Alexandria.

a b c (Å): 5.852 3.929 8.055
angles (deg): 90.00 108.74 90.00
Sites, in units of the cell vectors:
1 Pa 0.188 0.250 0.403
2 Pa 0.277 0.750 0.062
3 Pa 0.723 0.250 0.938
4 Pa 0.812 0.750 0.597
5 Ge 0.365 0.750 0.698
6 Ge 0.635 0.250 0.302
7 Ru 0.113 0.250 0.803
8 Ru 0.887 0.750 0.197

- symmetry = No. 11
- DOS at the Fermi energy (states/eV/cell) = 11.29

---

[8]
The following is a PBE calculation of a relaxed structure of Pa2GeRu2, from Alexandria.

a b c (Å): 7.387 7.387 3.642
angles (deg): 90.00 90.00 90.00
Sites, in units of the cell vectors:
1 Pa 0.173 0.327 0.000
2 Pa 0.327 0.827 0.000
3 Pa 0.673 0.173 0.000
4 Pa 0.827 0.673 0.000
5 Ge 0.000 0.000 0.500
6 Ge 0.500 0.500 0.500
7 Ru 0.138 0.638 0.500
8 Ru 0.362 0.138 0.500
9 Ru 0.638 0.862 0.500
10 Ru 0.862 0.362 0.500

- symmetry = No. 127
- DOS at the Fermi energy (states/eV/cell) = 8.07

---

[9]
The following is a PBE calculation of a relaxed structure of PaGeRu, from Alexandria.

a b c (Å): 7.278 4.323 7.186
angles (deg): 90.00 90.00 90.00
Sites, in units of the cell vectors:
1 Pa 0.010 0.250 0.184
2 Pa 0.490 0.750 0.684
3 Pa 0.510 0.250 0.316
4 Pa 0.990 0.750 0.816
5 Ge 0.213 0.250 0.611
6 Ge 0.287 0.750 0.111
7 Ge 0.713 0.250 0.889
8 Ge 0.787 0.750 0.389
9 Ru 0.140 0.750 0.438
10 Ru 0.360 0.250 0.938
11 Ru 0.640 0.750 0.062
12 Ru 0.860 0.250 0.562

- symmetry = No. 62
- DOS at the Fermi energy (states/eV/cell) = 8.47

---

[10]
The following is a PBE calculation of a relaxed structure of PaGe2Ru4, from Alexandria.

a b c (Å): 6.454 5.686 4.977
angles (deg): 74.16 57.95 47.90
Sites, in units of the cell vectors:
1 Pa 0.000 0.000 0.000
2 Ge 0.311 0.311 0.689
3 Ge 0.689 0.689 0.311
4 Ru 0.250 0.250 0.250
5 Ru 0.294 0.706 0.294
6 Ru 0.706 0.294 0.706
7 Ru 0.750 0.750 0.750

- symmetry = No. 69
- DOS at the Fermi energy (states/eV/cell) = 6.36

---

[11]
The following is a PBE calculation of a relaxed structure of Pa6Ge3Ru, from Alexandria.

a b c (Å): 7.810 7.810 7.810
angles (deg): 88.12 88.12 88.12
Sites, in units of the cell vectors:
1 Pa 0.112 0.769 0.764
2 Pa 0.161 0.551 0.477
3 Pa 0.231 0.236 0.888
4 Pa 0.236 0.888 0.231
5 Pa 0.449 0.523 0.839
6 Pa 0.477 0.161 0.551
7 Pa 0.523 0.839 0.449
8 Pa 0.551 0.477 0.161
9 Pa 0.764 0.112 0.769
10 Pa 0.769 0.764 0.112
11 Pa 0.839 0.449 0.523
12 Pa 0.888 0.231 0.236
13 Ge 0.100 0.143 0.536
14 Ge 0.143 0.536 0.100
15 Ge 0.464 0.900 0.857
16 Ge 0.536 0.100 0.143
17 Ge 0.857 0.464 0.900
18 Ge 0.900 0.857 0.464
19 Ru 0.000 0.000 0.000
20 Ru 0.500 0.500 0.500

- symmetry = No. 148
- DOS at the Fermi energy (states/eV/cell) = 36.57

---

[12]
The following is a PBE calculation of a relaxed structure of Pa3GeRu6, from Alexandria.

a b c (Å): 7.454 7.454 7.454
angles (deg): 100.27 100.27 100.27
Sites, in units of the cell vectors:
1 Pa 0.044 0.341 0.347
2 Pa 0.341 0.347 0.044
3 Pa 0.347 0.044 0.341
4 Pa 0.653 0.956 0.659
5 Pa 0.659 0.653 0.956
6 Pa 0.956 0.659 0.653
7 Ge 0.000 0.000 0.000
8 Ge 0.500 0.500 0.500
9 Ru 0.075 0.809 0.265
10 Ru 0.191 0.735 0.925
11 Ru 0.230 0.402 0.656
12 Ru 0.265 0.075 0.809
13 Ru 0.344 0.770 0.598
14 Ru 0.402 0.656 0.230
15 Ru 0.598 0.344 0.770
16 Ru 0.656 0.230 0.402
17 Ru 0.735 0.925 0.191
18 Ru 0.770 0.598 0.344
19 Ru 0.809 0.265 0.075
20 Ru 0.925 0.191 0.735

- symmetry = No. 148
- DOS at the Fermi energy (states/eV/cell) = 18.05

---

no.,energy of formation (eV per formula unit),theoretical density (g/cm3)
1,-1.80,11.79
2,-4.61,11.60
3,-4.01,11.15
4,-4.05,12.18
5,-2.06,13.43
6,0.19,12.35
7,-2.09,12.04
8,-2.96,12.31
9,-1.90,11.89
10,-2.95,11.38
11,-1.99,11.91
12,-2.32,11.64